[1]
# NaLi5Ca2Mg2 (PBE, relaxed)
data_NaLi5Ca2Mg2
_chemical_formula_sum 'Na2 Li10 Ca4 Mg4'
_space_group_name_H-M_alt 'P 4/m b m'
_space_group_IT_number 127
_space_group_name_Hall '-P 4 2ab'
_cell_length_a 11.169
_cell_length_b 11.169
_cell_length_c 4.440
_cell_angle_alpha 90.00
_cell_angle_beta 90.00
_cell_angle_gamma 90.00
loop_
_atom_site_label
_atom_site_type_symbol
_atom_site_fract_x
_atom_site_fract_y
_atom_site_fract_z
Na1 Na 0.000 0.000 0.000
Li1 Li 0.000 0.500 0.500
Li2 Li 0.064 0.213 0.500
Ca1 Ca 0.181 0.681 0.000
Mg1 Mg 0.112 0.388 0.000
# Formation energy from the elements in kJ/mol of atoms: 3
# Volume in A^3/atom: 27.69

[2]
# Li2Ca2NdMg5 (PBE, relaxed)
data_Li2Ca2NdMg5
_chemical_formula_sum 'Li4 Ca4 Nd2 Mg10'
_space_group_name_H-M_alt 'P 4/m b m'
_space_group_IT_number 127
_space_group_name_Hall '-P 4 2ab'
_cell_length_a 10.835
_cell_length_b 10.835
_cell_length_c 4.602
_cell_angle_alpha 90.00
_cell_angle_beta 90.00
_cell_angle_gamma 90.00
loop_
_atom_site_label
_atom_site_type_symbol
_atom_site_fract_x
_atom_site_fract_y
_atom_site_fract_z
Li1 Li 0.116 0.384 0.000
Ca1 Ca 0.180 0.680 0.000
Nd1 Nd 0.000 0.000 0.000
Mg1 Mg 0.000 0.500 0.500
Mg2 Mg 0.064 0.214 0.500
# Formation energy from the elements in kJ/mol of atoms: -5
# Volume in A^3/atom: 27.01

[3]
# LiCaMg2Ni (PBE, relaxed)
data_LiCaMg2Ni
_chemical_formula_sum 'Li1 Ca1 Mg2 Ni1'
_space_group_name_H-M_alt 'P 4/m m m'
_space_group_IT_number 123
_space_group_name_Hall '-P 4 2'
_cell_length_a 4.974
_cell_length_b 4.974
_cell_length_c 5.204
_cell_angle_alpha 90.00
_cell_angle_beta 90.00
_cell_angle_gamma 90.00
loop_
_atom_site_label
_atom_site_type_symbol
_atom_site_fract_x
_atom_site_fract_y
_atom_site_fract_z
Li1 Li 0.000 0.000 0.000
Ca1 Ca 0.500 0.500 0.000
Mg1 Mg 0.000 0.500 0.500
Ni1 Ni 0.500 0.500 0.500
# Formation energy from the elements in kJ/mol of atoms: 2
# Energy above the lowest structure with this stoichiometry in kJ/mol of atoms: 0.9
# Volume in A^3/atom: 25.75

[4]
# LiCaMg2Ni (PBE, relaxed)
data_LiCaMg2Ni
_chemical_formula_sum 'Li1 Ca1 Mg2 Ni1'
_space_group_name_H-M_alt 'P 4/m m m'
_space_group_IT_number 123
_space_group_name_Hall '-P 4 2'
_cell_length_a 4.897
_cell_length_b 4.897
_cell_length_c 4.842
_cell_angle_alpha 90.00
_cell_angle_beta 90.00
_cell_angle_gamma 90.00
loop_
_atom_site_label
_atom_site_type_symbol
_atom_site_fract_x
_atom_site_fract_y
_atom_site_fract_z
Li1 Li 0.000 0.000 0.000
Ca1 Ca 0.500 0.500 0.000
Mg1 Mg 0.000 0.500 0.500
Ni1 Ni 0.000 0.000 0.500
# Formation energy from the elements in kJ/mol of atoms: 1
# Energy above the lowest structure with this stoichiometry in kJ/mol of atoms: 0.0
# Volume in A^3/atom: 23.22

[5]
# LiCaMgNi (PBE, relaxed)
data_LiCaMgNi
_chemical_formula_sum 'Li4 Ca4 Mg4 Ni4'
_space_group_name_H-M_alt 'F -4 3 m'
_space_group_IT_number 216
_space_group_name_Hall 'F -4 2 3'
_cell_length_a 6.800
_cell_length_b 6.800
_cell_length_c 6.800
_cell_angle_alpha 90.00
_cell_angle_beta 90.00
_cell_angle_gamma 90.00
loop_
_atom_site_label
_atom_site_type_symbol
_atom_site_fract_x
_atom_site_fract_y
_atom_site_fract_z
Li1 Li 0.000 0.000 0.000
Ca1 Ca 0.250 0.250 0.750
Mg1 Mg 0.250 0.250 0.250
Ni1 Ni 0.000 0.000 0.500
# Formation energy from the elements in kJ/mol of atoms: -3
# Volume in A^3/atom: 19.65

[6]
# LiCa2MgO (PBE, relaxed)
data_LiCa2MgO
_chemical_formula_sum 'Li1 Ca2 Mg1 O1'
_space_group_name_H-M_alt 'P 4/m m m'
_space_group_IT_number 123
_space_group_name_Hall '-P 4 2'
_cell_length_a 4.789
_cell_length_b 4.789
_cell_length_c 4.833
_cell_angle_alpha 90.00
_cell_angle_beta 90.00
_cell_angle_gamma 90.00
loop_
_atom_site_label
_atom_site_type_symbol
_atom_site_fract_x
_atom_site_fract_y
_atom_site_fract_z
Li1 Li 0.000 0.000 0.000
Ca1 Ca 0.000 0.500 0.500
Mg1 Mg 0.500 0.500 0.000
O1 O 0.000 0.000 0.500
# Formation energy without anion corrections in eV per atom: -1.03
# Volume in A^3/atom: 22.17

[7]
# LiCa2MgP (PBE, relaxed)
data_LiCa2MgP
_chemical_formula_sum 'Li1 Ca2 Mg1 P1'
_space_group_name_H-M_alt 'P 4/m m m'
_space_group_IT_number 123
_space_group_name_Hall '-P 4 2'
_cell_length_a 5.559
_cell_length_b 5.559
_cell_length_c 4.811
_cell_angle_alpha 90.00
_cell_angle_beta 90.00
_cell_angle_gamma 90.00
loop_
_atom_site_label
_atom_site_type_symbol
_atom_site_fract_x
_atom_site_fract_y
_atom_site_fract_z
Li1 Li 0.000 0.000 0.000
Ca1 Ca 0.000 0.500 0.500
Mg1 Mg 0.500 0.500 0.000
P1 P 0.000 0.000 0.500
# Formation energy from the elements in kJ/mol of atoms: -41
# Volume in A^3/atom: 29.74

[8]
# LiCaMg2Pb (PBE, relaxed)
data_LiCaMg2Pb
_chemical_formula_sum 'Li1 Ca1 Mg2 Pb1'
_space_group_name_H-M_alt 'P 4/m m m'
_space_group_IT_number 123
_space_group_name_Hall '-P 4 2'
_cell_length_a 5.032
_cell_length_b 5.032
_cell_length_c 5.443
_cell_angle_alpha 90.00
_cell_angle_beta 90.00
_cell_angle_gamma 90.00
loop_
_atom_site_label
_atom_site_type_symbol
_atom_site_fract_x
_atom_site_fract_y
_atom_site_fract_z
Li1 Li 0.000 0.000 0.000
Ca1 Ca 0.000 0.000 0.500
Mg1 Mg 0.000 0.500 0.000
Pb1 Pb 0.500 0.500 0.500
# Formation energy from the elements in kJ/mol of atoms: 16
# Volume in A^3/atom: 27.57